(1)
AcLuAgPb | PBE | optimized geometry

- energy relative to the elements (kJ per mole of atoms) = -29.3
- N(E_F) (states/eV/cell) = 15.803

abc: 7.7815 7.7815 7.7815
angles: 90.00 90.00 90.00
Closest atoms and distances in Å follow each position.
Space group F-43m (No. 216)
Asymmetric unit:
Ac (0.0000, 0.0000, 0.0000) (multiplicity 4)  4 Pb 3.37, 4 Ag 3.37
Lu (0.0000, 0.0000, 0.5000) (multiplicity 4)  4 Pb 3.37, 4 Ag 3.37
Ag (0.2500, 0.2500, 0.7500) (multiplicity 4)  4 Ac 3.37, 4 Lu 3.37
Pb (0.2500, 0.2500, 0.2500) (multiplicity 4)  4 Ac 3.37, 4 Lu 3.37

***

(2)
BaTb2Mg9 | PBE | optimized geometry

- energy relative to the elements (kJ per mole of atoms) = -6.0
- N(E_F) (states/eV/cell) = 32.435

abc: 6.1723 6.1723 30.1036
angles: 90.00 90.00 120.00
Closest atoms and distances in Å follow each position.
Space group R-3m (No. 166, hexagonal axes)
Asymmetric unit:
Ba (0.0000, 0.0000, 0.0000) (multiplicity 3)  6 Mg 3.56
Tb (0.0000, 0.0000, 0.1496) (multiplicity 6)  12 Mg 3.42-3.63, 3 Tb 3.71
Mg (0.0000, 0.0000, 0.3343) (multiplicity 6)  6 Mg 3.14-3.16
Mg (0.0000, 0.0000, 0.5000) (multiplicity 3)  6 Mg 3.02
Mg (0.0051, 0.5026, 0.9136) (multiplicity 18)  7 Mg 3.02-3.16

***

Total magnetic moment? In order: 0.01, 0.00 Bohr magnetons per cell.
Calculated total energy? In order: -4.10, -2.19 eV/atom.